1.
Er2SeBr | Alexandria via LeMat-Bulk | GGA-PBE | optimized geometry; energy relative to the elements, uncorrected = -1228 meV/atom; V = 100.4 Å³/cell; symmetry = R-3m; E = -4.799 eV/atom
1.0
3.841 0.000 0.000
1.920 3.326 0.000
1.920 1.109 7.862
Se Br Er
1 1 2
direct
0.000 0.000 0.000 Se
0.500 0.500 0.500 Br
0.264 0.264 0.208 Er
0.736 0.736 0.792 Er

2.
ErSiBr | Alexandria via LeMat-Bulk | GGA-PBE | optimized geometry; energy relative to the elements, uncorrected = -645 meV/atom; V = 215.2 Å³/cell; symmetry = P-1; E = -4.531 eV/atom
1.0
-3.545 -1.375 -1.489
-0.360 -4.924 5.384
-3.670 3.298 5.686
Er Si Br
2 2 2
direct
0.500 0.454 0.248 Er
0.500 0.546 0.752 Er
0.000 0.336 0.059 Si
0.000 0.664 0.941 Si
0.500 0.229 0.615 Br
0.500 0.771 0.385 Br

3.
Er2SiBr | Alexandria via LeMat-Bulk | GGA-PBE | optimized geometry; energy relative to the elements, uncorrected = -885 meV/atom; V = 223.5 Å³/cell; symmetry = P2/c; E = -4.940 eV/atom
1.0
4.143 0.000 0.000
0.000 7.032 1.572
0.000 0.519 7.789
Er Si Br
4 2 2
direct
0.066 0.813 0.916 Er
0.066 0.595 0.540 Er
0.498 0.313 0.916 Er
0.498 0.095 0.540 Er
0.003 0.204 0.728 Si
0.561 0.704 0.728 Si
0.282 0.954 0.228 Br
0.283 0.454 0.228 Br

4.
Er2SiBr | Alexandria via LeMat-Bulk | GGA-PBE | optimized geometry; energy relative to the elements, uncorrected = -932 meV/atom; V = 104.6 Å³/cell; symmetry = R3m; E = -4.988 eV/atom
1.0
-1.213 2.960 2.515
0.332 -0.488 4.026
6.391 3.732 1.982
Er Si Br
2 1 1
direct
0.067 0.067 0.799 Er
0.268 0.268 0.197 Er
0.668 0.668 0.995 Si
0.497 0.497 0.508 Br

5.
Er3SiBr3 | Alexandria via LeMat-Bulk | GGA-PBE | optimized geometry; energy relative to the elements, uncorrected = -1329 meV/atom; V = 761.8 Å³/cell; symmetry = I4_132; E = -4.776 eV/atom
1.0
9.395 0.000 -3.322
-4.698 8.137 -3.322
0.000 0.000 9.965
Er Si Br
12 4 12
direct
0.973 0.487 0.237 Er
0.513 0.027 0.263 Er
0.250 0.013 0.487 Er
0.987 0.750 0.013 Er
0.987 0.237 0.473 Er
0.763 0.013 0.027 Er
0.737 0.473 0.487 Er
0.763 0.750 0.237 Er
0.527 0.263 0.013 Er
0.250 0.237 0.263 Er
0.737 0.263 0.750 Er
0.513 0.487 0.750 Er
0.750 0.500 0.000 Si
0.500 0.250 0.500 Si
0.750 0.250 0.250 Si
0.000 0.000 0.250 Si
0.245 0.995 0.990 Br
0.750 0.755 0.745 Br
0.490 0.745 0.995 Br
0.005 0.250 0.995 Br
0.255 0.745 0.250 Br
0.495 0.505 0.250 Br
0.245 0.250 0.755 Br
0.255 0.510 0.505 Br
0.750 0.995 0.505 Br
0.010 0.505 0.755 Br
0.005 0.755 0.510 Br
0.495 0.990 0.745 Br

6.
ErSiBr | Alexandria via LeMat-Bulk | GGA-PBE | optimized geometry; energy relative to the elements, uncorrected = -1180 meV/atom; V = 160.1 Å³/cell; symmetry = C2/m; E = -5.066 eV/atom
1.0
4.033 -0.018 -0.027
-2.001 3.501 0.027
-1.921 -1.214 11.372
Er Si Br
2 2 2
direct
0.891 0.445 0.336 Er
0.109 0.555 0.664 Er
0.327 0.163 0.490 Si
0.673 0.837 0.510 Si
0.547 0.276 0.823 Br
0.453 0.724 0.177 Br